[1]
Material: NbCuReAs
Method: DFT, GGA-PBE
State: optimized geometry

abc: 6.169 6.169 6.169
angles: 90.00 90.00 90.00
Space group F-43m (No. 216)
Unique sites:
1 Nb 0.000 0.000 0.000
2 Cu 0.250 0.250 0.750
3 Re 0.000 0.000 0.500
4 As 0.250 0.250 0.250

Values from the calculation:
The total energy comes out at -7.544 eV per atom.



[2]
Material: TaMoAs4
Method: DFT, GGA-PBE
State: optimized geometry

abc: 9.297 3.361 7.802
angles: 90.00 119.11 90.00
Space group Cm (No. 8)
Unique sites:
1 Ta 0.000 0.000 0.000
2 Mo 0.309 0.000 0.396
3 As 0.006 0.000 0.662
4 As 0.059 0.500 0.307
5 As 0.253 0.500 0.094
6 As 0.296 0.000 0.724

Values from the calculation:
The total energy comes out at -7.224 eV per atom.



[3]
Material: LaSmNi8B2
Method: DFT, GGA-PBE
State: optimized geometry

abc: 5.0746 5.0746 7.0414
angles: 90.00 90.00 120.00
Space group P6/mmm (No. 191)
Unique sites:
1 La 0.0000 0.0000 0.0000
2 Sm 0.0000 0.0000 0.5000
3 Ni 0.0000 0.5000 0.2948
4 Ni 0.3333 0.6667 0.0000
5 B 0.3333 0.6667 0.5000

Values from the calculation:
The total energy comes out at -6.077 eV per atom.



[4]
Material: BaGdFe
Method: DFT, GGA-PBE
State: optimized geometry

abc: 6.980 6.980 6.980
angles: 90.00 90.00 90.00
Space group F-43m (No. 216)
Unique sites:
1 Ba 0.000 0.000 0.000
2 Gd 0.000 0.000 0.500
3 Fe 0.250 0.250 0.250

Values from the calculation:
The total energy comes out at -4.288 eV per atom.



[5]
Material: Pr2Zn5Pb
Method: DFT, GGA-PBE
State: optimized geometry

abc: 4.486 16.772 9.165
angles: 90.00 90.00 90.00
Space group Cmcm (No. 63)
Unique sites:
1 Pr 0.000 0.000 0.000
2 Pr 0.000 0.205 0.250
3 Zn 0.000 0.185 0.609
4 Zn 0.000 0.342 0.514
5 Zn 0.000 0.391 0.250
6 Pb 0.000 0.446 0.750

Values from the calculation:
The total energy comes out at -2.831 eV per atom.



[6]
Material: KTcAsO
Method: DFT, GGA-PBE
State: optimized geometry

abc: 3.527 8.058 6.472
angles: 90.00 90.00 90.00
Space group Pmc2_1 (No. 26)
Unique sites:
1 K 0.000 0.189 0.000
2 Tc 0.500 0.414 0.585
3 As 0.000 0.225 0.496
4 O 0.500 0.414 0.882

Values from the calculation:
The total energy comes out at -5.912 eV per atom.



[7]
Material: ScCo2Sn2
Method: DFT, GGA-PBE
State: optimized geometry

abc: 4.067 4.067 11.234
angles: 90.00 90.00 90.00
Space group I4/mmm (No. 139)
Unique sites:
1 Sc 0.000 0.000 0.000
2 Co 0.000 0.500 0.250
3 Sn 0.000 0.000 0.376

Values from the calculation:
The total energy comes out at -5.813 eV per atom.



[8]
Material: Sc2AlZn5
Method: DFT, GGA-PBE
State: optimized geometry

abc: 4.418 5.892 10.171
angles: 90.00 90.00 90.00
Space group Amm2 (No. 38)
Unique sites:
1 Sc 0.000 0.000 0.000
2 Sc 0.500 0.000 0.330
3 Al 0.000 0.000 0.509
4 Zn 0.000 0.240 0.748
5 Zn 0.500 0.000 0.825
6 Zn 0.500 0.242 0.584

Values from the calculation:
The total energy comes out at -3.164 eV per atom.



[9]
Material: LiZrAs2
Method: DFT, GGA-PBE
State: optimized geometry

abc: 6.610 6.610 6.610
angles: 90.00 90.00 90.00
Space group F-43m (No. 216)
Unique sites:
1 Li 0.000 0.000 0.000
2 Zr 0.250 0.250 0.250
3 As 0.000 0.000 0.500
4 As 0.250 0.250 0.750

Values from the calculation:
The total energy comes out at -5.054 eV per atom.



[10]
Material: DyErCo2B2N2
Method: DFT, GGA-PBE
State: optimized geometry

abc: 3.459 3.459 7.436
angles: 90.00 90.00 90.00
Space group P4mm (No. 99)
Unique sites:
1 Dy 0.000 0.000 0.000
2 Er 0.500 0.500 0.335
3 Co 0.000 0.500 0.667
4 B 0.000 0.000 0.516
5 B 0.500 0.500 0.819
6 N 0.000 0.000 0.314
7 N 0.500 0.500 0.023

Values from the calculation:
The total energy comes out at -7.782 eV per atom.



[11]
Material: Pm3PS2
Method: DFT, GGA-PBE
State: optimized geometry

abc: 4.059 5.741 12.245
angles: 90.00 90.00 90.00
Space group Immm (No. 71)
Unique sites:
1 Pm 0.000 0.000 0.000
2 Pm 0.000 0.000 0.338
3 P 0.000 0.500 0.000
4 S 0.000 0.500 0.333

Values from the calculation:
The total energy comes out at -6.584 eV per atom.



[12]
Material: GdUIr
Method: DFT, GGA-PBE
State: optimized geometry

abc: 5.0594 5.0594 2.8712
angles: 90.00 90.00 120.00
Space group P-6m2 (No. 187)
Unique sites:
1 Gd 0.0000 0.0000 0.0000
2 U 0.6667 0.3333 0.0000
3 Ir 0.3333 0.6667 0.0000

Values from the calculation:
The total energy comes out at -7.769 eV per atom. The formation energy is 500 meV/atom.



[13]
Material: Be2TcAu
Method: DFT, GGA-PBE
State: optimized geometry

abc: 5.969 5.969 5.969
angles: 90.00 90.00 90.00
Space group F-43m (No. 216)
Unique sites:
1 Be 0.000 0.000 0.000
2 Be 0.250 0.250 0.250
3 Tc 0.000 0.000 0.500
4 Au 0.250 0.250 0.750

Values from the calculation:
The total energy comes out at -4.838 eV per atom.



[14]
Material: TlAgPSe3
Method: DFT, GGA-PBE
State: optimized geometry

abc: 10.451 12.797 9.856
angles: 90.00 97.02 90.00
Space group P2_1/c (No. 14)
Unique sites:
1 Tl 0.082 0.116 0.120
2 Tl 0.323 0.673 0.893
3 Ag 0.211 0.553 0.289
4 Ag 0.327 0.183 0.768
5 P 0.047 0.081 0.504
6 P 0.435 0.023 0.084
7 Se 0.070 0.126 0.724
8 Se 0.101 0.687 0.105
9 Se 0.228 0.073 0.413
10 Se 0.271 0.589 0.554
11 Se 0.379 0.191 0.046
12 Se 0.452 0.000 0.712

Values from the calculation:
The total energy comes out at -3.744 eV per atom.



[15]
Material: MgZrAgPt
Method: DFT, GGA-PBE
State: optimized geometry

abc: 6.639 6.639 6.639
angles: 90.00 90.00 90.00
Space group F-43m (No. 216)
Unique sites:
1 Mg 0.000 0.000 0.000
2 Zr 0.000 0.000 0.500
3 Ag 0.250 0.250 0.250
4 Pt 0.250 0.250 0.750

Values from the calculation:
The total energy comes out at -5.323 eV per atom.



[16]
Material: ErInAu2
Method: DFT, GGA-PBE
State: optimized geometry

abc: 4.526 3.751 10.588
angles: 90.00 90.00 90.00
Space group Amm2 (No. 38)
Unique sites:
1 Er 0.000 0.000 0.000
2 In 0.500 0.000 0.284
3 Au 0.000 0.000 0.725
4 Au 0.500 0.000 0.554

Values from the calculation:
The total energy comes out at -4.050 eV per atom.



[17]
Material: Dy5Y2Cu2Te2
Method: DFT, GGA-PBE
State: optimized geometry

abc: 3.954 15.603 9.571
angles: 90.00 90.00 90.00
Space group Imm2 (No. 44)
Unique sites:
1 Dy 0.000 0.000 0.000
2 Dy 0.000 0.128 0.414
3 Dy 0.000 0.315 0.619
4 Y 0.000 0.357 0.260
5 Cu 0.000 0.238 0.925
6 Te 0.000 0.000 0.662
7 Te 0.000 0.500 0.762

Values from the calculation:
The total energy comes out at -5.095 eV per atom.



[18]
Material: LaGaNi2As
Method: DFT, GGA-PBE
State: optimized geometry

abc: 4.351 4.351 9.330
angles: 90.00 90.00 90.00
Space group P4/nmm (No. 129, origin choice 2)
Unique sites:
1 La 0.250 0.250 0.249
2 Ga 0.250 0.250 0.620
3 Ni 0.250 0.250 0.886
4 Ni 0.250 0.750 0.500
5 As 0.250 0.750 0.000

Values from the calculation:
The total energy comes out at -5.424 eV per atom.



[19]
Material: ZrIrO4
Method: DFT, GGA-PBE
State: optimized geometry

abc: 6.638 6.662 3.232
angles: 90.00 90.00 90.00
Space group Cmmm (No. 65)
Unique sites:
1 Zr 0.000 0.000 0.000
2 Ir 0.000 0.500 0.500
3 O 0.000 0.319 0.000
4 O 0.200 0.000 0.500

Values from the calculation:
The total energy comes out at -8.140 eV per atom.



[20]
Material: ScBeGaPd
Method: DFT, GGA-PBE
State: optimized geometry

abc: 6.244 6.244 6.244
angles: 90.00 90.00 90.00
Space group F-43m (No. 216)
Unique sites:
1 Sc 0.000 0.000 0.000
2 Be 0.000 0.000 0.500
3 Ga 0.250 0.250 0.250
4 Pd 0.250 0.250 0.750

Values from the calculation:
The total energy comes out at -5.004 eV per atom.



[21]
Material: Sn2HgTe2F2
Method: DFT, GGA-PBE
State: optimized geometry

abc: 4.140 4.140 9.924
angles: 90.00 90.00 90.00
Space group P-4m2 (No. 115)
Unique sites:
1 Sn 0.000 0.500 0.147
2 Hg 0.000 0.000 0.500
3 Te 0.000 0.500 0.700
4 F 0.000 0.000 0.000
5 F 0.500 0.500 0.000

Values from the calculation:
The total energy comes out at -3.597 eV per atom.



[22]
Material: DyTmIn4Pd2
Method: DFT, GGA-PBE
State: optimized geometry

abc: 7.526 4.459 10.550
angles: 90.00 90.00 90.00
Space group Amm2 (No. 38)
Unique sites:
1 Dy 0.000 0.000 0.000
2 Tm 0.500 0.000 0.147
3 In 0.202 0.000 0.710
4 In 0.299 0.000 0.436
5 Pd 0.000 0.000 0.284
6 Pd 0.500 0.000 0.863

Values from the calculation:
The total energy comes out at -4.430 eV per atom.



[23]
Material: SmHg
Method: DFT, GGA-PBE
State: optimized geometry

abc: 4.5584 4.5584 6.8265
angles: 90.00 90.00 120.00
Space group P6_3/mmc (No. 194)
Unique sites:
1 Sm 0.0000 0.0000 0.0000
2 Hg 0.3333 0.6667 0.2500

Values from the calculation:
The total energy comes out at -2.655 eV per atom. The formation energy is -151 meV/atom.



[24]
Material: UTePd
Method: DFT, GGA-PBE
State: optimized geometry

abc: 6.668 6.668 6.668
angles: 90.00 90.00 90.00
Space group F-43m (No. 216)
Unique sites:
1 U 0.000 0.000 0.000
2 Te 0.000 0.000 0.500
3 Pd 0.250 0.250 0.750

Values from the calculation:
The total energy comes out at -6.845 eV per atom.